[1]
First-principles (PBE) data for crystalline CuAg4 at its relaxed geometry, as listed in the Open Quantum Materials Database.

Lattice parameters (Å, degrees): 7.037 2.902 8.505 90.00 104.72 90.00
Fractional positions:
Ag1 0.895 0.000 0.200
Ag2 0.105 0.000 0.800
Ag3 0.202 0.500 0.113
Ag4 0.500 0.000 0.000
Ag5 0.000 0.500 0.500
Ag6 0.592 0.500 0.319
Ag7 0.798 0.500 0.887
Ag8 0.408 0.500 0.681
Cu1 0.702 0.000 0.599
Cu2 0.298 0.000 0.401

**Crystal system**: monoclinic
**Formation energy**: 0.05 eV per atom



[2]
First-principles (PBE) data for crystalline FeAu2 at its relaxed geometry, as listed in the Open Quantum Materials Database.

Lattice parameters (Å, degrees): 5.839 5.839 3.795 90.00 90.00 90.00
Each line ends with the local moment (μB).
Fractional positions:
Au1 0.802 0.198 0.500  0.09
Au2 0.302 0.302 0.000  0.09
Au3 0.698 0.698 0.000  0.09
Au4 0.198 0.802 0.500  0.09
Fe1 0.000 0.000 0.000  3.02
Fe2 0.500 0.500 0.500  2.98

**Crystal system**: tetragonal
**Formation energy**: 0.66 eV per atom



[3]
First-principles (PBE) data for crystalline YLuFeAs at its relaxed geometry, as listed in the Open Quantum Materials Database.

Lattice parameters (Å, degrees): 4.738 4.738 4.738 60.00 60.00 60.00
Fractional positions:
As1 0.000 0.000 0.000
Y1 0.250 0.250 0.250
Lu1 0.500 0.500 0.500
Fe1 0.750 0.750 0.750

**Crystal system**: cubic
**Final energy**: -5.91 eV per atom



[4]
First-principles (PBE) data for crystalline NaLiFe2P2 at its relaxed geometry, as listed in the Open Quantum Materials Database.

Lattice parameters (Å, degrees): 3.727 3.727 6.435 90.00 90.00 90.00
Fractional positions:
Li1 0.000 0.000 0.683
P1 0.000 0.000 0.173
P2 0.500 0.500 0.805
Na1 0.500 0.500 0.362
Fe1 0.000 0.500 0.988
Fe2 0.500 0.000 0.988

**Crystal system**: tetragonal
**Final energy**: -5.67 eV per atom



[5]
First-principles (PBE) data for crystalline Li2Mg2CoSn2Pd at its relaxed geometry, as listed in the Open Quantum Materials Database.

Lattice parameters (Å, degrees): 4.499 4.499 6.411 90.00 90.00 90.00
Fractional positions:
Sn1 0.000 0.500 0.232
Sn2 0.500 0.000 0.768
Pd1 0.500 0.500 0.500
Mg1 0.000 0.500 0.755
Mg2 0.500 0.000 0.245
Li1 0.000 0.000 0.500
Li2 0.500 0.500 0.000
Co1 0.000 0.000 0.000

**Crystal system**: tetragonal
**Final energy**: -3.80 eV per atom



[6]
First-principles (PBE) data for crystalline CdGaAs2 at its relaxed geometry, as listed in the Open Quantum Materials Database.

Lattice parameters (Å, degrees): 4.876 4.876 4.876 60.00 60.00 60.00
Fractional positions:
As1 0.500 0.500 0.500
As2 0.250 0.250 0.250
Ga1 0.000 0.000 0.000
Cd1 0.750 0.750 0.750

**Crystal system**: cubic
**Final energy**: -3.06 eV per atom



[7]
First-principles (PBE) data for crystalline Dy2TmSe3 at its relaxed geometry, as listed in the Open Quantum Materials Database.

Lattice parameters (Å, degrees): 4.038 4.038 9.946 90.00 90.00 120.00
Fractional positions:
Se1 0.333 0.667 0.162
Se2 0.000 0.000 0.500
Se3 0.667 0.333 0.838
Tm1 0.000 0.000 0.000
Dy1 0.667 0.333 0.333
Dy2 0.333 0.667 0.667

**Crystal system**: trigonal
**Final energy**: -5.74 eV per atom



[8]
First-principles (PBE) data for crystalline KBaHg at its relaxed geometry, as listed in the Open Quantum Materials Database.

Lattice parameters (Å, degrees): 5.929 5.929 5.929 60.00 60.00 60.00
Fractional positions:
Hg1 0.000 0.000 0.000
K1 0.750 0.750 0.750
Ba1 0.250 0.250 0.250

**Crystal system**: cubic
**Final energy**: -1.28 eV per atom



[9]
First-principles (PBE) data for crystalline FeBiPb2 at its relaxed geometry, as listed in the Open Quantum Materials Database.

Lattice parameters (Å, degrees): 5.213 5.213 5.213 60.00 60.00 60.00
Fractional positions:
Pb1 0.000 0.000 0.000
Pb2 0.750 0.750 0.750
Fe1 0.250 0.250 0.250
Bi1 0.500 0.500 0.500

**Crystal system**: cubic
**Final energy**: -4.35 eV per atom



[10]
First-principles (PBE) data for crystalline AcPuZn at its relaxed geometry, as listed in the Open Quantum Materials Database.

Lattice parameters (Å, degrees): 5.164 5.164 5.164 60.00 60.00 60.00
Each line ends with the local moment (μB).
Fractional positions:
Ac1 0.500 0.500 0.500  0.13
Pu1 0.000 0.000 0.000  5.62
Zn1 0.250 0.250 0.250  0.00

**Crystal system**: cubic
**Formation energy**: 0.21 eV per atom



[11]
First-principles (PBE) data for crystalline LuScPbC at its relaxed geometry, as listed in the Open Quantum Materials Database.

Lattice parameters (Å, degrees): 3.478 3.478 15.434 90.00 90.00 120.00
Fractional positions:
Pb1 0.667 0.333 0.258
Pb2 0.333 0.667 0.742
Lu1 0.333 0.667 0.084
Lu2 0.667 0.333 0.916
Sc1 0.333 0.667 0.423
Sc2 0.667 0.333 0.577
C1 0.000 0.000 0.000
C2 0.000 0.000 0.500

**Crystal system**: trigonal
**Final energy**: -6.52 eV per atom



[12]
First-principles (PBE) data for crystalline RbCd3Pd at its relaxed geometry, as listed in the Open Quantum Materials Database.

Lattice parameters (Å, degrees): 7.519 7.520 7.525 60.07 60.07 60.05
Fractional positions:
Pd1 0.000 0.500 0.500
Pd2 0.500 0.000 0.000
Rb1 0.249 0.748 0.750
Rb2 0.751 0.252 0.250
Cd1 0.749 0.752 0.251
Cd2 0.252 0.249 0.251
Cd3 0.250 0.750 0.249
Cd4 0.750 0.250 0.751
Cd5 0.251 0.248 0.749
Cd6 0.748 0.751 0.749

**Crystal system**: monoclinic
**Final energy**: -1.96 eV per atom



[13]
First-principles (PBE) data for crystalline ErSiPt at its relaxed geometry, as listed in the Open Quantum Materials Database.

Lattice parameters (Å, degrees): 5.629 4.226 10.106 90.00 90.00 90.00
Fractional positions:
Si1 0.871 0.750 0.339
Si2 0.629 0.250 0.839
Si3 0.371 0.750 0.161
Si4 0.129 0.250 0.661
Er1 0.363 0.250 0.369
Er2 0.863 0.250 0.131
Er3 0.137 0.750 0.869
Er4 0.637 0.750 0.631
Pt1 0.853 0.250 0.448
Pt2 0.647 0.750 0.948
Pt3 0.353 0.250 0.052
Pt4 0.147 0.750 0.552

**Crystal system**: orthorhombic
**Final energy**: -6.33 eV per atom



[14]
First-principles (PBE) data for crystalline PaCuI6 at its relaxed geometry, as listed in the Open Quantum Materials Database.

Lattice parameters (Å, degrees): 7.958 7.958 7.610 102.08 102.08 123.04
Fractional positions:
I1 0.085 0.380 0.235
I2 0.620 0.915 0.765
I3 0.725 0.725 0.273
I4 0.380 0.085 0.235
I5 0.275 0.275 0.727
I6 0.915 0.620 0.765
Pa1 0.500 0.500 0.500
Cu1 0.000 0.000 0.000

**Crystal system**: monoclinic
**Final energy**: -3.49 eV per atom



[15]
First-principles (PBE) data for crystalline TbHoGa6 at its relaxed geometry, as listed in the Open Quantum Materials Database.

Lattice parameters (Å, degrees): 6.263 6.263 4.562 90.00 90.00 120.00
Fractional positions:
Ga1 0.037 0.518 0.000
Ga2 0.482 0.963 0.000
Ga3 0.630 0.815 0.500
Ga4 0.482 0.518 0.000
Ga5 0.185 0.370 0.500
Ga6 0.185 0.815 0.500
Tb1 0.667 0.333 0.500
Ho1 0.000 0.000 0.000

**Crystal system**: hexagonal
**Final energy**: -3.96 eV per atom



[16]
First-principles (PBE) data for crystalline BeInBPt at its relaxed geometry, as listed in the Open Quantum Materials Database.

Lattice parameters (Å, degrees): 4.334 4.334 4.334 60.00 60.00 60.00
Fractional positions:
B1 0.000 0.000 0.000
Pt1 0.500 0.500 0.500
In1 0.250 0.250 0.250
Be1 0.750 0.750 0.750

**Crystal system**: cubic
**Final energy**: -4.08 eV per atom



[17]
First-principles (PBE) data for crystalline SrZnO3 at its relaxed geometry, as listed in the Open Quantum Materials Database.

Lattice parameters (Å, degrees): 5.404 5.404 6.136 63.87 63.87 60.00
Fractional positions:
O1 0.063 0.511 0.770
O2 0.937 0.489 0.230
O3 0.656 0.063 0.770
O4 0.511 0.656 0.770
O5 0.489 0.344 0.230
O6 0.344 0.937 0.230
Sr1 0.125 0.125 0.624
Sr2 0.875 0.875 0.376
Zn1 0.340 0.340 0.979
Zn2 0.660 0.660 0.021

**Crystal system**: trigonal
**Final energy**: -4.86 eV per atom



[18]
First-principles (PBE) data for crystalline SnOsNO at its relaxed geometry, as listed in the Open Quantum Materials Database.

Lattice parameters (Å, degrees): 3.346 6.004 6.236 90.00 90.00 90.00
Fractional positions:
N1 0.000 0.182 0.584
N2 0.000 0.818 0.084
Os1 0.500 0.067 0.506
Os2 0.500 0.933 0.006
Sn1 0.000 0.667 0.436
Sn2 0.000 0.333 0.936
O1 0.500 0.205 0.220
O2 0.500 0.795 0.720

**Crystal system**: orthorhombic
**Final energy**: -7.04 eV per atom



[19]
First-principles (PBE) data for crystalline Tm3PS2 at its relaxed geometry, as listed in the Open Quantum Materials Database.

Lattice parameters (Å, degrees): 3.883 3.883 9.463 90.00 90.00 120.00
Fractional positions:
Tm1 0.333 0.667 0.837
Tm2 0.000 0.000 0.500
Tm3 0.667 0.333 0.163
S1 0.333 0.667 0.336
S2 0.667 0.333 0.664
P1 0.000 0.000 0.000

**Crystal system**: trigonal
**Final energy**: -6.38 eV per atom



[20]
First-principles (PBE) data for crystalline YPaB at its relaxed geometry, as listed in the Open Quantum Materials Database.

Lattice parameters (Å, degrees): 4.448 4.448 4.448 60.00 60.00 60.00
Fractional positions:
Y1 0.750 0.750 0.750
Pa1 0.250 0.250 0.250
B1 0.000 0.000 0.000

**Crystal system**: cubic
**Final energy**: -7.28 eV per atom